[1]
Below is crystalline SmHf2Al at its relaxed geometry, with properties calculated at the GGA-PBE level.

a b c (Å): 3.1206 3.1206 11.2162
angles (deg): 82.00 82.00 60.00
With the nearest neighbours (Å) after each atom.
Fractional positions:
Hf (0.0951, 0.0951, 0.7148)  3 Al 2.98, 6 Hf 3.12, 1 Sm 3.16
Al (0.5000, 0.5000, 0.5000)  6 Hf 2.98, 6 Al 3.12
Sm (0.0000, 0.0000, 0.0000)  6 Sm 3.12, 2 Hf 3.16
Hf (0.9049, 0.9049, 0.2852)  3 Al 2.98, 6 Hf 3.12, 1 Sm 3.16

Results
ΔE to the lowest computed polymorph = 312 meV/atom
E = -6.8476 eV per atom



[2]
Below is crystalline La2CeF8 at its relaxed geometry, with properties calculated at the GGA-PBE level.

a b c (Å): 3.9817 6.7173 6.9424
angles (deg): 118.93 106.66 90.00
With the nearest neighbours (Å) after each atom.
Fractional positions:
Ce (0.5000, 0.0000, 0.0000)  12 F 2.62-2.87
F (0.6591, 0.4391, 0.3182)  3 La 2.50-2.61, 1 Ce 2.62, 5 F 2.66-2.74
F (0.0000, 0.3075, 0.0000)  2 La 2.48, 7 F 2.59-2.71
La (0.1839, 0.6839, 0.3678)  10 F 2.48-2.77
F (0.3409, 0.1210, 0.6818)  3 La 2.50-2.61, 1 Ce 2.62, 5 F 2.66-2.74
F (0.8516, 0.8516, 0.7031)  2 Ce 2.62, 8 F 2.66-2.74, 2 La 2.77
F (0.0000, 0.6925, 0.0000)  2 La 2.48, 7 F 2.59-2.71
La (0.8161, 0.3161, 0.6322)  10 F 2.48-2.77
F (0.3409, 0.5609, 0.6818)  3 La 2.50-2.61, 1 Ce 2.62, 5 F 2.66-2.74
F (0.1484, 0.1484, 0.2969)  2 Ce 2.62, 8 F 2.66-2.74, 2 La 2.77
F (0.6591, 0.8790, 0.3182)  3 La 2.50-2.61, 1 Ce 2.62, 5 F 2.66-2.74

Results
E_form (uncorrected) = -3878 meV per atom
E = -6.6745 eV per atom



[3]
Below is crystalline MgCrRu4 at its relaxed geometry, with properties calculated at the GGA-PBE level.

a b c (Å): 5.1093 5.1093 5.1093
angles (deg): 60.00 60.00 60.00
With the nearest neighbours (Å) after each atom.
Fractional positions:
Ru (0.1253, 0.6249, 0.6249)  6 Ru 2.55-2.56
Cr (0.2500, 0.2500, 0.2500)  12 Ru 3.00, 4 Mg 3.13
Ru (0.6249, 0.1253, 0.6249)  6 Ru 2.55-2.56
Ru (0.6249, 0.6249, 0.1253)  6 Ru 2.55-2.56
Ru (0.6249, 0.6249, 0.6249)  6 Ru 2.55-2.56
Mg (0.0000, 0.0000, 0.0000)  12 Ru 3.00, 4 Cr 3.13

Results
E = -7.7093 eV per atom



[4]
Below is crystalline NaSrCaAl at its relaxed geometry, with properties calculated at the GGA-PBE level.

a b c (Å): 5.6792 5.6792 5.6792
angles (deg): 60.00 60.00 60.00
With the nearest neighbours (Å) after each atom.
Fractional positions:
Al (0.5000, 0.5000, 0.5000)  4 Ca 3.48, 4 Sr 3.48
Sr (0.2500, 0.2500, 0.2500)  4 Al 3.48, 4 Na 3.48
Na (0.0000, 0.0000, 0.0000)  4 Sr 3.48, 4 Ca 3.48
Ca (0.7500, 0.7500, 0.7500)  4 Al 3.48, 4 Na 3.48

Results
E = -2.2334 eV per atom



[5]
Below is crystalline Ce2AlPd6 at its relaxed geometry, with properties calculated at the GGA-PBE level.

a b c (Å): 5.8816 5.7436 5.7436
angles (deg): 60.00 90.00 90.00
With the nearest neighbours (Å) after each atom.
Fractional positions:
Pd (0.3071, 0.8284, 0.3431)  1 Al 2.49
Pd (0.6929, 0.6569, 0.1716)  1 Al 2.49
Pd (0.3071, 0.3431, 0.8284)  1 Al 2.49
Pd (0.6929, 0.1716, 0.6569)  1 Al 2.49
Ce (0.8039, 0.6667, 0.6667)  6 Pd 2.95
Pd (0.6929, 0.1716, 0.1716)  1 Al 2.49
Al (0.0000, 0.0000, 0.0000)  6 Pd 2.49
Pd (0.3071, 0.8284, 0.8284)  1 Al 2.49
Ce (0.1961, 0.3333, 0.3333)  6 Pd 2.95

Results
ΔE to the lowest computed polymorph = 0 meV/atom
E = -5.9943 eV per atom



[6]
Below is crystalline Ac2ScSi3Ni12 at its relaxed geometry, with properties calculated at the GGA-PBE level.

a b c (Å): 6.4177 6.4177 6.4177
angles (deg): 85.09 85.09 85.09
With the nearest neighbours (Å) after each atom.
Fractional positions:
Ni (0.1857, 0.1857, 0.7002)  1 Si 2.29, 3 Ni 2.39-2.50, 1 Sc 2.45
Ni (0.8143, 0.8143, 0.2998)  1 Si 2.29, 3 Ni 2.39-2.50, 1 Sc 2.45
Ni (0.3747, 0.3747, 0.9165)  1 Ni 2.39, 2 Si 2.50
Ni (0.0835, 0.6253, 0.6253)  1 Ni 2.39, 2 Si 2.50
Ni (0.8143, 0.2998, 0.8143)  1 Si 2.29, 3 Ni 2.39-2.50, 1 Sc 2.45
Ac (0.6427, 0.6427, 0.6427)  6 Ni 2.58-2.81
Ni (0.2998, 0.8143, 0.8143)  1 Si 2.29, 3 Ni 2.39-2.50, 1 Sc 2.45
Ni (0.7002, 0.1857, 0.1857)  1 Si 2.29, 3 Ni 2.39-2.50, 1 Sc 2.45
Ac (0.3573, 0.3573, 0.3573)  6 Ni 2.58-2.81
Ni (0.1857, 0.7002, 0.1857)  1 Si 2.29, 3 Ni 2.39-2.50, 1 Sc 2.45
Si (0.0000, 0.0000, 0.5000)  6 Ni 2.29-2.50
Si (0.5000, 0.0000, 0.0000)  6 Ni 2.29-2.50
Si (0.0000, 0.5000, 0.0000)  6 Ni 2.29-2.50
Ni (0.6253, 0.6253, 0.0835)  1 Ni 2.39, 2 Si 2.50
Ni (0.9165, 0.3747, 0.3747)  1 Ni 2.39, 2 Si 2.50
Sc (0.0000, 0.0000, 0.0000)  6 Ni 2.45
Ni (0.6253, 0.0835, 0.6253)  1 Ni 2.39, 2 Si 2.50
Ni (0.3747, 0.9165, 0.3747)  1 Ni 2.39, 2 Si 2.50

Results
E_form (uncorrected) = -119 meV per atom
E = -5.6851 eV per atom



[7]
Below is crystalline V3SnH at its relaxed geometry, with properties calculated at the GGA-PBE level.

a b c (Å): 3.0834 3.0834 16.6493
angles (deg): 90.00 90.00 120.00
With the nearest neighbours (Å) after each atom.
Fractional positions:
V (0.3333, 0.6667, 0.8622)  1 H 1.87
Sn (0.0000, 0.0000, 0.5000)  6 V 2.90, 6 Sn 3.08
H (0.6667, 0.3333, 0.2500)  5 V 1.78-1.87
V (0.6667, 0.3333, 0.1378)  1 H 1.87
V (0.0000, 0.0000, 0.7500)  3 H 1.78
V (0.3333, 0.6667, 0.6378)  1 H 1.87
Sn (0.0000, 0.0000, 0.0000)  6 V 2.90, 6 Sn 3.08
H (0.3333, 0.6667, 0.7500)  5 V 1.78-1.87
V (0.6667, 0.3333, 0.3622)  1 H 1.87
V (0.0000, 0.0000, 0.2500)  3 H 1.78

Results
E = -6.7447 eV per atom



[8]
Below is crystalline ZrTlF3 at its relaxed geometry, with properties calculated at the GGA-PBE level.

a b c (Å): 4.4532 4.4532 4.4532
angles (deg): 90.00 90.00 90.00
With the nearest neighbours (Å) after each atom.
Fractional positions:
Zr (0.0000, 0.0000, 0.0000)  6 F 2.23
F (0.0000, 0.0000, 0.5000)  2 Zr 2.23
Tl (0.5000, 0.5000, 0.5000)  12 F 3.15
F (0.0000, 0.5000, 0.0000)  2 Zr 2.23
F (0.5000, 0.0000, 0.0000)  2 Zr 2.23

Results
ΔE to the lowest computed polymorph = 0 meV/atom
E_form (uncorrected) = -2290 meV per atom
E = -5.5957 eV per atom



[9]
Below is crystalline Mn2CdIn at its relaxed geometry, with properties calculated at the GGA-PBE level.

a b c (Å): 4.2721 4.2729 3.8626
angles (deg): 90.00 90.00 90.00
With the nearest neighbours (Å) after each atom.
Fractional positions:
Mn (0.5000, 0.5000, 0.0000)  4 In 2.88, 4 Cd 2.88, 4 Mn 3.02
Cd (0.5000, 0.0000, 0.5000)  8 Mn 2.88, 4 In 3.02
In (0.0000, 0.5000, 0.5000)  8 Mn 2.88, 4 Cd 3.02
Mn (0.0000, 0.0000, 0.0000)  4 Cd 2.88, 4 In 2.88, 4 Mn 3.02

Results
E = -5.2458 eV per atom



[10]
Below is crystalline LiTlIO4 at its relaxed geometry, with properties calculated at the GGA-PBE level.

a b c (Å): 6.9830 6.6340 6.6340
angles (deg): 69.28 58.24 58.24
With the nearest neighbours (Å) after each atom.
Fractional positions:
O (0.2307, 0.2539, 0.2847)  1 Li 1.94, 1 I 2.08
Tl (0.0000, 0.0000, 0.5000)  6 O 2.49-2.61
O (0.2307, 0.7847, 0.7539)  1 Li 1.94, 1 I 2.08
O (0.7693, 0.2153, 0.2461)  1 Li 1.94, 1 I 2.08
Tl (0.5000, 0.0000, 0.5000)  6 O 2.49-2.61
O (0.6460, 0.3089, 0.8089)  1 I 1.87
I (0.7019, 0.5481, 0.0481)  4 O 1.87-2.08
O (0.7638, 0.6911, 0.1911)  1 I 1.87
O (0.2362, 0.3089, 0.8089)  1 I 1.87
Li (0.0000, 0.5000, 0.5000)  2 O 1.94
Li (0.0000, 0.0000, 0.0000)  2 O 1.94
O (0.7693, 0.7461, 0.7153)  1 Li 1.94, 1 I 2.08
O (0.3540, 0.6911, 0.1911)  1 I 1.87
I (0.2981, 0.4519, 0.9519)  4 O 1.87-2.08

Results
E_form (uncorrected) = -666 meV per atom
E = -4.3319 eV per atom